# 1
Compound: BaSiAg2Se2S2
Source: OQMD via LeMat-Bulk
Functional: PBE-GGA
Structure: relaxed

Structure (POSCAR):
```
BaSiAg2Se2S2
1.0
10.7745 0.0000 0.0000
0.0000 6.9618 0.0000
-4.3969 0.0000 5.3943
Ba Si Ag Se S
2 2 4 4 4
Direct
0.0000 0.0000 0.0000
0.5000 0.5000 0.0000
0.0000 0.4777 0.5000
0.5000 0.9777 0.5000
0.2498 0.4961 0.2629
0.2502 0.9961 0.7371
0.7502 0.4961 0.7371
0.7498 0.9961 0.2629
0.1517 0.6773 0.8398
0.3483 0.1773 0.1602
0.6517 0.1773 0.8398
0.8483 0.6773 0.1602
0.1511 0.3055 0.4682
0.3489 0.8055 0.5318
0.6511 0.8055 0.4682
0.8489 0.3055 0.5318
```

- Symmetry: C2 (5)

# 2
Compound: BaAg2SnSe2S2
Source: OQMD via LeMat-Bulk
Functional: PBE-GGA
Structure: relaxed

Structure (POSCAR):
```
BaAg2SnSe2S2
1.0
10.9311 0.0000 0.0000
0.0000 7.5013 0.0000
-4.4558 0.0000 5.4256
Ba Ag Sn Se S
2 4 2 4 4
Direct
0.0000 0.0000 0.0000
0.5000 0.5000 0.0000
0.1833 0.5061 0.1691
0.3167 0.0061 0.8309
0.6833 0.0061 0.1691
0.8167 0.5061 0.8309
0.0000 0.5180 0.5000
0.5000 0.0180 0.5000
0.1741 0.3147 0.4655
0.3259 0.8147 0.5345
0.6741 0.8147 0.4655
0.8259 0.3147 0.5345
0.1703 0.6984 0.8716
0.3297 0.1984 0.1284
0.6703 0.1984 0.8716
0.8297 0.6984 0.1284
```

- Symmetry: C2 (5)

# 3
Compound: BaAg2SnSeS3
Source: OQMD via LeMat-Bulk
Functional: PBE-GGA
Structure: relaxed

Structure (POSCAR):
```
BaAg2SnSeS3
1.0
6.5313 0.0000 0.0000
-1.1984 6.4613 0.0000
-2.4036 -3.4422 5.1165
Ba Ag Sn Se S
1 2 1 1 3
Direct
0.0000 0.0000 0.0000
0.3045 0.8174 0.4947
0.6865 0.1716 0.4920
0.4953 0.4952 0.9816
0.5210 0.5294 0.3922
0.1345 0.1282 0.5990
0.4814 0.8740 0.0100
0.8557 0.4611 0.9697
```

- Symmetry: P1 (1)

# 4
Compound: BaTbAgSeS2
Source: OQMD via LeMat-Bulk
Functional: PBE-GGA
Structure: relaxed

Structure (POSCAR):
```
BaTbAgSeS2
1.0
2.0866 -7.0723 0.0000
2.0866 7.0723 0.0000
0.0000 0.0000 10.6837
Ba Tb Ag Se S
2 2 2 2 4
Direct
0.2395 0.7605 0.7500
0.7605 0.2395 0.2500
0.0000 0.0000 0.0000
0.0000 0.0000 0.5000
0.4717 0.5283 0.2500
0.5283 0.4717 0.7500
0.0867 0.9133 0.2500
0.9133 0.0867 0.7500
0.3713 0.6287 0.0553
0.3713 0.6287 0.4447
0.6287 0.3713 0.5553
0.6287 0.3713 0.9447
```

- Symmetry: Cmcm (63)
- Magnetic moment: 0.007 μB per cell

# 5
Compound: BaTcAg2Se3S
Source: OQMD via LeMat-Bulk
Functional: PBE-GGA
Structure: relaxed

Structure (POSCAR):
```
BaTcAg2Se3S
1.0
6.3987 0.0000 0.0000
-2.6501 5.9218 0.0000
-1.2232 -3.2880 5.5158
Ba Tc Ag Se S
1 1 2 3 1
Direct
0.0000 0.0000 0.0000
0.4679 0.9744 0.5143
0.2098 0.5298 0.6619
0.8463 0.5454 0.3365
0.1539 0.6098 0.1219
0.5345 0.3702 0.5249
0.8531 0.0299 0.4882
0.4906 0.0241 0.8775
```

- Symmetry: P1 (1)
- Magnetic moment: 0.998 μB per cell

# 6
Compound: BaTcAg2SeS3
Source: OQMD via LeMat-Bulk
Functional: PBE-GGA
Structure: relaxed

Structure (POSCAR):
```
BaTcAg2SeS3
1.0
6.3003 0.0000 0.0000
-2.6192 5.7587 0.0000
-1.2100 -3.2517 5.4113
Ba Tc Ag Se S
1 1 2 1 3
Direct
0.0000 0.0000 0.0000
0.4645 0.9437 0.4923
0.1890 0.5013 0.6657
0.8441 0.5363 0.3218
0.5362 0.3596 0.5228
0.1456 0.6062 0.1176
0.4806 0.0066 0.8651
0.8389 0.0067 0.4779
```

- Symmetry: P1 (1)
- Magnetic moment: 0.998 μB per cell

Number 1: ρ 4.95 g/cm³, DFT total energy -69.87 eV/cell. Number 2: ρ 5.18 g/cm³, DFT total energy -65.61 eV/cell. Number 3: ρ 4.98 g/cm³, DFT total energy -33.51 eV/cell. Number 4: ρ 5.76 g/cm³, DFT total energy -61.24 eV/cell. Number 5: ρ 5.72 g/cm³, DFT total energy -36.95 eV/cell. Number 6: ρ 5.30 g/cm³, DFT total energy -38.51 eV/cell.